1.
This record from Alexandria describes a geometry-optimized CrCoCu2 structure. The functional is PBE-GGA.

abc: 2.5202 2.5202 25.1226
angles: 90.00 90.00 120.00
Space group R3m (No. 160, hexagonal axes)
Asymmetric unit:
1 Cr 0.0000 0.0000 0.0000 (multiplicity 3)
2 Co 0.0000 0.0000 0.2565 (multiplicity 3)
3 Cu 0.0000 0.0000 0.5052 (multiplicity 3)
4 Cu 0.0000 0.0000 0.7538 (multiplicity 3)

calculated volume = 138.2 Å³/cell
crystal system = trigonal
formation energy from the elements = 15 kJ per mole of atoms


2.
This record from Alexandria describes a geometry-optimized AcEuHgIr structure. The functional is PBE-GGA.

abc: 7.5468 7.5468 7.5468
angles: 90.00 90.00 90.00
Space group F-43m (No. 216)
Asymmetric unit:
1 Ac 0.0000 0.0000 0.0000 (multiplicity 4)
2 Eu 0.0000 0.0000 0.5000 (multiplicity 4)
3 Hg 0.2500 0.2500 0.7500 (multiplicity 4)
4 Ir 0.2500 0.2500 0.2500 (multiplicity 4)

calculated volume = 429.8 Å³/cell
crystal system = cubic
formation energy from the elements = -38 kJ per mole of atoms


3.
This record from Alexandria describes a geometry-optimized Zr2TcNi2 structure. The functional is PBE-GGA.

abc: 3.3322 3.3322 15.1661
angles: 90.00 90.00 90.00
Space group I4/mmm (No. 139)
Asymmetric unit:
1 Zr 0.0000 0.0000 0.1057 (multiplicity 4)
2 Tc 0.0000 0.0000 0.5000 (multiplicity 2)
3 Ni 0.0000 0.5000 0.2500 (multiplicity 4)

calculated volume = 168.4 Å³/cell
crystal system = tetragonal
E above lowest polymorph = 114 meV per atom
formation energy from the elements = -14 kJ per mole of atoms


4.
This record from Alexandria describes a geometry-optimized Ho3PuHg4 structure. The functional is PBE-GGA.

abc: 3.6906 3.6906 15.0891
angles: 90.00 90.00 90.00
Space group P4/mmm (No. 123)
Asymmetric unit:
1 Ho 0.0000 0.0000 0.0000 (multiplicity 1)
2 Ho 0.0000 0.0000 0.2468 (multiplicity 2)
3 Pu 0.0000 0.0000 0.5000 (multiplicity 1)
4 Hg 0.5000 0.5000 0.1239 (multiplicity 2)
5 Hg 0.5000 0.5000 0.3645 (multiplicity 2)

calculated volume = 205.5 Å³/cell
crystal system = tetragonal
formation energy from the elements = -37 kJ per mole of atoms


5.
This record from Alexandria describes a geometry-optimized TlAgC structure. The functional is PBE-GGA.

abc: 14.9940 3.8102 4.8309
angles: 90.00 106.35 90.00
Space group Cm (No. 8)
Asymmetric unit:
1 Tl 0.0000 0.0000 0.0000 (multiplicity 2)
2 Tl 0.2433 0.0000 0.8494 (multiplicity 2)
3 Ag 0.2201 0.5000 0.3346 (multiplicity 2)
4 Ag 0.3702 0.0000 0.4609 (multiplicity 2)
5 C 0.0145 0.5000 0.4975 (multiplicity 2)
6 C 0.0966 0.5000 0.4791 (multiplicity 2)

calculated volume = 264.8 Å³/cell
crystal system = monoclinic
formation energy from the elements = 68 kJ per mole of atoms


6.
This record from Alexandria describes a geometry-optimized TeAsBr2F structure. The functional is PBE-GGA.

abc: 5.4664 5.4664 5.7250
angles: 90.00 90.00 90.00
Space group P4/mmm (No. 123)
Asymmetric unit:
1 Te 0.0000 0.0000 0.0000 (multiplicity 1)
2 As 0.0000 0.0000 0.5000 (multiplicity 1)
3 Br 0.0000 0.5000 0.0000 (multiplicity 2)
4 F 0.5000 0.5000 0.5000 (multiplicity 1)

calculated volume = 171.1 Å³/cell
crystal system = tetragonal
E above lowest polymorph = 237 meV per atom
formation energy without anion corrections = 0.231 eV per atom